Crystalline Pr3Sn3Pt at its relaxed geometry. Source: Alexandria via LeMat-Bulk, functional GGA-PBE.

```
data_Pr3Sn3Pt
_cell_length_a 11.552
_cell_length_b 4.660
_cell_length_c 15.441
_cell_angle_alpha 90.00
_cell_angle_beta 110.02
_cell_angle_gamma 90.00
_space_group_name_H-M_alt 'C 1 2/m 1'
_space_group_IT_number 12
_space_group_name_Hall '-C 2y'
loop_
_atom_site_label
_atom_site_type_symbol
_atom_site_fract_x
_atom_site_fract_y
_atom_site_fract_z
Pr1 Pr 0.025 0.000 0.381
Pr2 Pr 0.098 0.000 0.922
Pr3 Pr 0.244 0.000 0.236
Sn1 Sn 0.031 0.500 0.235
Sn2 Sn 0.126 0.500 0.076
Sn3 Sn 0.148 0.500 0.534
Pt1 Pt 0.248 0.500 0.385
```

Properties
**Electronic total energy**: -5.50 eV per atom
**ΔH_f (0 K)**: -6.1 eV/f.u.
**DOS(E_F)**: 23.5 states/eV per cell



Crystalline Tb3Nd5Ho at its relaxed geometry. Source: Alexandria via LeMat-Bulk, functional GGA-PBE.

```
data_Tb3Nd5Ho
_cell_length_a 20.209
_cell_length_b 6.301
_cell_length_c 11.786
_cell_angle_alpha 90.00
_cell_angle_beta 123.04
_cell_angle_gamma 90.00
_space_group_name_H-M_alt 'C 1 2/c 1'
_space_group_IT_number 15
_space_group_name_Hall '-C 2yc'
loop_
_atom_site_label
_atom_site_type_symbol
_atom_site_fract_x
_atom_site_fract_y
_atom_site_fract_z
Tb1 Tb 0.000 0.000 0.000
Tb2 Tb 0.176 0.220 0.027
Nd1 Nd 0.000 0.409 0.250
Nd2 Nd 0.137 0.331 0.656
Nd3 Nd 0.180 0.178 0.331
Ho1 Ho 0.000 0.102 0.750
```

Properties
**Electronic total energy**: -4.43 eV per atom
**Energy above the most stable polymorph in this dataset**: 192 meV/atom
**ΔH_f (0 K)**: 2.4 eV/f.u.
**DOS(E_F)**: 48.2 states/eV per cell